No. 1
First-principles (PBE) data for an optimized crystal structure of VAs2SeCl, as listed in Alexandria via LeMat-Bulk.

```
data_VAs2SeCl
_chemical_formula_sum 'V1 As2 Se1 Cl1'
_cell_length_a 5.073
_cell_length_b 5.073
_cell_length_c 4.241
_cell_angle_alpha 90.00
_cell_angle_beta 90.00
_cell_angle_gamma 90.00
_symmetry_space_group_name_H-M 'P 4/m m m'
_symmetry_Int_Tables_number 123
_symmetry_space_group_name_Hall '-P 4 2'
loop_
_atom_site_label
_atom_site_fract_x
_atom_site_fract_y
_atom_site_fract_z
_atom_site_occupancy
V1 0.000 0.000 0.000 1
As1 0.000 0.500 0.500 1
Se1 0.500 0.500 0.000 1
Cl1 0.000 0.000 0.500 1
```

Properties
Energy relative to the lowest polymorph listed for this composition ... 1.002 eV per atom
Magnetic moment ... 0.07 μB/cell
Formation energy without anion corrections ... 1.04 eV/atom

---

No. 2
First-principles (PBE) data for an optimized crystal structure of VAsSe2Cl, as listed in Alexandria via LeMat-Bulk.

```
data_VAsSe2Cl
_chemical_formula_sum 'V1 As1 Se2 Cl1'
_cell_length_a 4.943
_cell_length_b 4.943
_cell_length_c 4.723
_cell_angle_alpha 90.00
_cell_angle_beta 90.00
_cell_angle_gamma 90.00
_symmetry_space_group_name_H-M 'P 4/m m m'
_symmetry_Int_Tables_number 123
_symmetry_space_group_name_Hall '-P 4 2'
loop_
_atom_site_label
_atom_site_fract_x
_atom_site_fract_y
_atom_site_fract_z
_atom_site_occupancy
V1 0.000 0.000 0.000 1
As1 0.500 0.500 0.000 1
Se1 0.000 0.500 0.500 1
Cl1 0.500 0.500 0.500 1
```

Properties
Energy relative to the lowest polymorph listed for this composition ... 1.270 eV per atom
Magnetic moment ... 0.31 μB/cell
Formation energy without anion corrections ... 1.27 eV/atom

---

No. 3
First-principles (PBE) data for an optimized crystal structure of VAs2SeCl, as listed in Alexandria via LeMat-Bulk.

```
data_VAs2SeCl
_chemical_formula_sum 'V1 As2 Se1 Cl1'
_cell_length_a 4.802
_cell_length_b 4.802
_cell_length_c 4.664
_cell_angle_alpha 90.00
_cell_angle_beta 90.00
_cell_angle_gamma 90.00
_symmetry_space_group_name_H-M 'P 4/m m m'
_symmetry_Int_Tables_number 123
_symmetry_space_group_name_Hall '-P 4 2'
loop_
_atom_site_label
_atom_site_fract_x
_atom_site_fract_y
_atom_site_fract_z
_atom_site_occupancy
V1 0.000 0.000 0.000 1
As1 0.000 0.500 0.000 1
Se1 0.000 0.000 0.500 1
Cl1 0.500 0.500 0.500 1
```

Properties
Energy relative to the lowest polymorph listed for this composition ... 0.000 eV per atom
Magnetic moment ... 0.00 μB/cell
Formation energy without anion corrections ... 0.04 eV/atom

---

No. 4
First-principles (PBE) data for an optimized crystal structure of VAsSe2Cl, as listed in Alexandria via LeMat-Bulk.

```
data_VAsSe2Cl
_chemical_formula_sum 'V1 As1 Se2 Cl1'
_cell_length_a 4.691
_cell_length_b 4.691
_cell_length_c 4.980
_cell_angle_alpha 90.00
_cell_angle_beta 90.00
_cell_angle_gamma 90.00
_symmetry_space_group_name_H-M 'P 4/m m m'
_symmetry_Int_Tables_number 123
_symmetry_space_group_name_Hall '-P 4 2'
loop_
_atom_site_label
_atom_site_fract_x
_atom_site_fract_y
_atom_site_fract_z
_atom_site_occupancy
V1 0.000 0.000 0.000 1
As1 0.000 0.000 0.500 1
Se1 0.000 0.500 0.000 1
Cl1 0.500 0.500 0.500 1
```

Properties
Energy relative to the lowest polymorph listed for this composition ... 0.000 eV per atom
Magnetic moment ... 0.00 μB/cell
Formation energy without anion corrections ... 0.00 eV/atom